Record 1
The following is a PBE-GGA calculation of a geometry-optimized V2ZnBi2 structure, from Alexandria.

The structure in extended XYZ format:
```
10
Lattice="7.117 0.000 0.000 0.000 7.117 0.000 0.000 0.000 3.978" Properties=species:S:1:pos:R:3 pbc="T T T"
V 0.925 2.633 0.000
V 2.633 6.192 0.000
V 4.483 0.925 0.000
V 6.192 4.483 0.000
Zn 0.000 0.000 0.000
Zn 3.558 3.558 0.000
Bi 1.199 4.757 1.989
Bi 2.359 1.199 1.989
Bi 4.757 5.918 1.989
Bi 5.918 2.359 1.989
```

**E_tot**: -51.0 eV/cell
**Symmetry**: P4/mbm (127)



Record 2
The following is a PBE-GGA calculation of a geometry-optimized V2ZnBi2 structure, from Alexandria.

The structure in extended XYZ format:
```
10
Lattice="4.682 0.000 0.000 0.000 4.682 0.000 0.000 0.000 10.637" Properties=species:S:1:pos:R:3 pbc="T T T"
V 0.000 0.000 0.920
V 0.000 0.000 9.717
V 2.341 2.341 4.398
V 2.341 2.341 6.239
Zn 0.000 0.000 5.319
Zn 2.341 2.341 0.000
Bi 0.000 2.341 2.659
Bi 0.000 2.341 7.978
Bi 2.341 0.000 2.659
Bi 2.341 0.000 7.978
```

**E_tot**: -48.0 eV/cell
**Symmetry**: I4/mmm (139)



Record 3
The following is a PBE-GGA calculation of a geometry-optimized VZnBi3 structure, from Alexandria.

The structure in extended XYZ format:
```
5
Lattice="5.290 0.000 0.000 0.000 5.290 0.000 0.000 0.000 5.290" Properties=species:S:1:pos:R:3 pbc="T T T"
V 0.000 0.000 0.000
Zn 2.645 2.645 2.645
Bi 0.000 0.000 2.645
Bi 0.000 2.645 0.000
Bi 2.645 0.000 0.000
```

**E_tot**: -19.8 eV/cell
**Symmetry**: Pm-3m (221)



Record 4
The following is a PBE-GGA calculation of a geometry-optimized VZn2Bi structure, from Alexandria.

The structure in extended XYZ format:
```
16
Lattice="7.693 0.000 0.000 0.000 7.693 0.000 0.000 0.000 5.354" Properties=species:S:1:pos:R:3 pbc="T T T"
V 0.000 0.000 0.000
V 0.000 3.847 1.339
V 3.847 0.000 4.016
V 3.847 3.847 2.677
Zn 1.678 1.923 0.669
Zn 1.923 5.524 2.008
Zn 1.923 6.016 4.685
Zn 2.169 1.923 3.346
Zn 5.524 5.770 3.346
Zn 5.770 1.678 4.685
Zn 5.770 2.169 2.008
Zn 6.016 5.770 0.669
Bi 0.000 0.000 2.677
Bi 0.000 3.847 4.016
Bi 3.847 0.000 1.339
Bi 3.847 3.847 0.000
```

**E_tot**: -54.0 eV/cell
**Symmetry**: I-42d (122)



Record 5
The following is a PBE-GGA calculation of a geometry-optimized VZn3Bi structure, from Alexandria.

The structure in extended XYZ format:
```
5
Lattice="4.900 0.000 0.000 0.000 4.900 0.000 0.000 0.000 4.900" Properties=species:S:1:pos:R:3 pbc="T T T"
V 0.000 0.000 0.000
Zn 0.000 0.000 2.450
Zn 0.000 2.450 0.000
Zn 2.450 0.000 0.000
Bi 2.450 2.450 2.450
```

**E_tot**: -13.1 eV/cell
**Symmetry**: Pm-3m (221)



Record 6
The following is a PBE-GGA calculation of a geometry-optimized ZrV3Bi structure, from Alexandria.

The structure in extended XYZ format:
```
5
Lattice="4.737 0.000 0.000 0.000 4.737 0.000 0.000 0.000 4.737" Properties=species:S:1:pos:R:3 pbc="T T T"
Zr 0.000 0.000 0.000
V 0.000 0.000 2.369
V 0.000 2.369 0.000
V 2.369 0.000 0.000
Bi 2.369 2.369 2.369
```

**E_tot**: -32.5 eV/cell
**Symmetry**: Pm-3m (221)



Record 7
The following is a PBE-GGA calculation of a geometry-optimized ZrVBi2 structure, from Alexandria.

The structure in extended XYZ format:
```
16
Lattice="7.141 0.000 0.000 0.000 7.141 0.000 0.000 0.000 7.141" Properties=species:S:1:pos:R:3 pbc="T T T"
Zr 0.000 0.000 0.000
Zr 0.000 3.570 3.570
Zr 3.570 0.000 3.570
Zr 3.570 3.570 0.000
V 0.000 0.000 3.570
V 0.000 3.570 0.000
V 3.570 0.000 0.000
V 3.570 3.570 3.570
Bi 1.785 1.785 1.785
Bi 1.785 1.785 5.355
Bi 1.785 5.355 1.785
Bi 1.785 5.355 5.355
Bi 5.355 1.785 1.785
Bi 5.355 1.785 5.355
Bi 5.355 5.355 1.785
Bi 5.355 5.355 5.355
```

**E_tot**: -98.9 eV/cell
**Symmetry**: Fm-3m (225)



Record 8
The following is a PBE-GGA calculation of a geometry-optimized ZrV3Bi structure, from Alexandria.

The structure in extended XYZ format:
```
5
Lattice="4.899 0.000 0.000 0.000 4.899 0.000 0.000 0.000 4.899" Properties=species:S:1:pos:R:3 pbc="T T T"
Zr 0.000 0.000 0.000
V 0.000 2.450 2.450
V 2.450 0.000 2.450
V 2.450 2.450 0.000
Bi 2.450 2.450 2.450
```

**E_tot**: -31.7 eV/cell
**Symmetry**: Pm-3m (221)



Record 9
The following is a PBE-GGA calculation of a geometry-optimized ZrVBi3 structure, from Alexandria.

The structure in extended XYZ format:
```
5
Lattice="5.642 0.000 0.000 0.000 5.642 0.000 0.000 0.000 5.642" Properties=species:S:1:pos:R:3 pbc="T T T"
Zr 0.000 0.000 0.000
V 2.821 2.821 2.821
Bi 0.000 0.000 2.821
Bi 0.000 2.821 0.000
Bi 2.821 0.000 0.000
```

**E_tot**: -25.2 eV/cell
**Symmetry**: Pm-3m (221)



Record 10
The following is a PBE-GGA calculation of a geometry-optimized ZrVBi2 structure, from Alexandria.

The structure in extended XYZ format:
```
16
Lattice="6.538 0.000 0.000 0.000 6.538 0.000 0.000 0.000 13.279" Properties=species:S:1:pos:R:3 pbc="T T T"
Zr 0.000 0.000 0.000
Zr 0.000 3.269 3.320
Zr 3.269 0.000 9.959
Zr 3.269 3.269 6.639
V 0.000 0.000 6.639
V 0.000 3.269 9.959
V 3.269 0.000 3.320
V 3.269 3.269 0.000
Bi 1.537 1.635 8.299
Bi 1.635 4.806 11.619
Bi 1.635 5.002 4.979
Bi 1.733 1.635 1.660
Bi 4.806 4.904 1.660
Bi 4.904 1.537 4.979
Bi 4.904 1.733 11.619
Bi 5.002 4.904 8.299
```

**E_tot**: -91.5 eV/cell
**Symmetry**: I-42d (122)



Record 11
The following is a PBE-GGA calculation of a geometry-optimized ZrVBi2 structure, from Alexandria.

The structure in extended XYZ format:
```
12
Lattice="3.402 0.000 0.000 -1.701 2.946 0.000 0.000 0.000 31.495" Properties=species:S:1:pos:R:3 pbc="T T T"
Zr 0.000 0.000 0.000
Zr 0.000 1.964 20.997
Zr 1.701 0.982 10.498
V 0.000 0.000 15.748
V 0.000 1.964 5.249
V 1.701 0.982 26.246
Bi 0.000 0.000 12.938
Bi 0.000 0.000 18.557
Bi 0.000 1.964 2.440
Bi 0.000 1.964 8.058
Bi 1.701 0.982 23.437
Bi 1.701 0.982 29.055
```

**E_tot**: -71.5 eV/cell
**Symmetry**: R-3m (166)



Record 12
The following is a PBE-GGA calculation of a geometry-optimized Zr2VBi structure, from Alexandria.

The structure in extended XYZ format:
```
16
Lattice="4.199 0.000 0.000 0.000 4.199 0.000 0.000 0.000 21.209" Properties=species:S:1:pos:R:3 pbc="T T T"
Zr 1.047 1.050 2.651
Zr 1.050 3.147 7.953
Zr 1.050 3.151 18.558
Zr 1.052 1.050 13.256
Zr 3.147 3.149 13.256
Zr 3.149 1.047 18.558
Zr 3.149 1.052 7.953
Zr 3.151 3.149 2.651
V 0.000 0.000 0.000
V 0.000 2.099 5.302
V 2.099 0.000 15.907
V 2.099 2.099 10.605
Bi 0.000 0.000 10.605
Bi 0.000 2.099 15.907
Bi 2.099 0.000 5.302
Bi 2.099 2.099 0.000
```

**E_tot**: -112.4 eV/cell
**Symmetry**: I-42d (122)



| no. | magnetic moment (μB/atom) | energy of formation from the pure elements (eV/atom) |
| --- | --- | --- |
| 1 | 0.41 | 0.350 |
| 2 | 0.00 | 0.654 |
| 3 | 0.00 | 0.448 |
| 4 | 0.00 | 0.510 |
| 5 | 0.52 | 0.738 |
| 6 | 0.00 | 1.460 |
| 7 | 0.17 | 0.179 |
| 8 | 0.37 | 1.613 |
| 9 | 0.75 | 0.830 |
| 10 | 0.75 | 0.640 |
| 11 | 0.92 | 0.397 |
| 12 | 0.57 | 0.496 |